A plane-wave DFT calculation with GGA+U was carried out for Ba2Tl2Co3O10 after structural relaxation.

POSCAR file:
```
Ba2Tl2Co3O10
1.0
3.801 0.000 0.000
-0.001 3.826 0.000
-0.126 -0.238 17.374
Ba Tl Co O
2 2 3 10
Direct
0.000 0.000 0.000
0.481 0.467 0.524
0.491 0.461 0.830
0.987 0.952 0.694
0.473 0.013 0.261
0.526 0.509 0.141
0.976 0.933 0.380
0.474 0.010 0.148
0.474 0.513 0.246
0.475 0.000 0.375
0.487 0.551 0.709
0.498 0.501 0.949
0.965 0.506 0.099
0.973 0.016 0.277
0.977 0.512 0.425
0.983 0.974 0.575
0.991 0.057 0.815
```

## Properties
E_tot (eV per atom): -5.4482